1.
## TaCoF2 (meta-GGA SCAN)

Data for a PBEsol-optimized structure of TaCoF2.

a b c (Å): 2.8000 2.8000 21.5328
angles (deg): 90.00 90.00 120.00
With the nearest neighbours (Å) after each atom.
Fractional positions:
1 Ta 0.0000 0.0000 0.0000  2 F 2.16
2 Ta 0.3333 0.6667 0.6667  2 F 2.16
3 Ta 0.6667 0.3333 0.3333  2 F 2.16
4 Co 0.0000 0.0000 0.5000  6 F 2.16
5 Co 0.3333 0.6667 0.1667  6 F 2.16
6 Co 0.6667 0.3333 0.8333  6 F 2.16
7 F 0.0000 0.0000 0.1001  1 Ta 2.16, 3 Co 2.16
8 F 0.0000 0.0000 0.8999  1 Ta 2.16, 3 Co 2.16
9 F 0.3333 0.6667 0.5665  1 Ta 2.16, 3 Co 2.16
10 F 0.3333 0.6667 0.7668  1 Ta 2.16, 3 Co 2.16
11 F 0.6667 0.3333 0.2332  1 Ta 2.16, 3 Co 2.16
12 F 0.6667 0.3333 0.4335  1 Ta 2.16, 3 Co 2.16

## Properties
Crystal system = trigonal
Polymorph energy (0 for the lowest one) = 0 meV/atom
Energy relative to the elements, uncorrected = -1.1614 eV per atom



2.
## Ta3CoF (meta-GGA SCAN)

Data for a PBEsol-optimized structure of Ta3CoF.

a b c (Å): 4.1815 4.1815 4.1815
angles (deg): 90.00 90.00 90.00
With the nearest neighbours (Å) after each atom.
Fractional positions:
1 Ta 0.0000 0.0000 0.5000  2 F 2.09
2 Ta 0.0000 0.5000 0.0000  2 F 2.09
3 Ta 0.5000 0.0000 0.0000  2 F 2.09
4 Co 0.5000 0.5000 0.5000  12 Ta 2.96
5 F 0.0000 0.0000 0.0000  6 Ta 2.09

## Properties
Crystal system = cubic
Energy relative to the elements, uncorrected = 0.3554 eV per atom



3.
## TaCoF2 (meta-GGA SCAN)

Data for a PBEsol-optimized structure of TaCoF2.

a b c (Å): 4.9540 4.9540 8.7200
angles (deg): 90.00 90.00 90.00
With the nearest neighbours (Å) after each atom.
Fractional positions:
1 Ta 0.0000 0.0000 0.0000  4 F 2.16
2 Ta 0.0000 0.5000 0.2500  4 F 2.16
3 Ta 0.5000 0.0000 0.7500  4 F 2.16
4 Ta 0.5000 0.5000 0.5000  4 F 2.16
5 Co 0.0000 0.0000 0.5000  4 F 1.97
6 Co 0.0000 0.5000 0.7500  4 F 1.97
7 Co 0.5000 0.0000 0.2500  4 F 1.97
8 Co 0.5000 0.5000 0.0000  4 F 1.97
9 F 0.2191 0.7500 0.6250  2 Co 1.97, 2 Ta 2.16
10 F 0.2500 0.2191 0.3750  2 Co 1.97, 2 Ta 2.16
11 F 0.2500 0.2809 0.8750  2 Co 1.97, 2 Ta 2.16
12 F 0.2809 0.7500 0.1250  2 Co 1.97, 2 Ta 2.16
13 F 0.7191 0.2500 0.1250  2 Co 1.97, 2 Ta 2.16
14 F 0.7500 0.7191 0.8750  2 Co 1.97, 2 Ta 2.16
15 F 0.7500 0.7809 0.3750  2 Co 1.97, 2 Ta 2.16
16 F 0.7809 0.2500 0.6250  2 Co 1.97, 2 Ta 2.16

## Properties
Crystal system = tetragonal
Polymorph energy (0 for the lowest one) = 796 meV/atom
Energy relative to the elements, uncorrected = -0.3653 eV per atom



4.
## CoTc3F (meta-GGA SCAN)

Data for a PBEsol-optimized structure of CoTc3F.

a b c (Å): 3.9975 3.9975 3.9975
angles (deg): 90.00 90.00 90.00
With the nearest neighbours (Å) after each atom.
Fractional positions:
1 Co 0.0000 0.0000 0.0000  12 Tc 2.83
2 Tc 0.0000 0.5000 0.5000  2 F 2.00
3 Tc 0.5000 0.0000 0.5000  2 F 2.00
4 Tc 0.5000 0.5000 0.0000  2 F 2.00
5 F 0.5000 0.5000 0.5000  6 Tc 2.00

## Properties
Crystal system = cubic
Energy relative to the elements, uncorrected = 0.9613 eV per atom



5.
## CoTe2F (meta-GGA SCAN)

Data for a PBEsol-optimized structure of CoTe2F.

a b c (Å): 6.3171 6.3171 6.3171
angles (deg): 90.00 90.00 90.00
With the nearest neighbours (Å) after each atom.
Fractional positions:
1 Co 0.0000 0.0000 0.0000  8 Te 2.74
2 Co 0.0000 0.5000 0.5000  8 Te 2.74
3 Co 0.5000 0.0000 0.5000  8 Te 2.74
4 Co 0.5000 0.5000 0.0000  8 Te 2.74
5 Te 0.2500 0.2500 0.2500  4 F 2.74, 4 Co 2.74
6 Te 0.2500 0.2500 0.7500  4 Co 2.74, 4 F 2.74
7 Te 0.2500 0.7500 0.2500  4 Co 2.74, 4 F 2.74
8 Te 0.2500 0.7500 0.7500  4 F 2.74, 4 Co 2.74
9 Te 0.7500 0.2500 0.2500  4 Co 2.74, 4 F 2.74
10 Te 0.7500 0.2500 0.7500  4 F 2.74, 4 Co 2.74
11 Te 0.7500 0.7500 0.2500  4 F 2.74, 4 Co 2.74
12 Te 0.7500 0.7500 0.7500  4 Co 2.74, 4 F 2.74
13 F 0.0000 0.0000 0.5000  8 Te 2.74
14 F 0.0000 0.5000 0.0000  8 Te 2.74
15 F 0.5000 0.0000 0.0000  8 Te 2.74
16 F 0.5000 0.5000 0.5000  8 Te 2.74

## Properties
Crystal system = cubic
Energy relative to the elements, uncorrected = -0.4221 eV per atom



6.
## TiCoF2 (meta-GGA SCAN)

Data for a PBEsol-optimized structure of TiCoF2.

a b c (Å): 2.8121 2.8121 20.9734
angles (deg): 90.00 90.00 120.00
With the nearest neighbours (Å) after each atom.
Fractional positions:
1 Ti 0.0000 0.0000 0.0000  2 F 2.01
2 Ti 0.3333 0.6667 0.6667  2 F 2.01
3 Ti 0.6667 0.3333 0.3333  2 F 2.01
4 Co 0.0000 0.0000 0.5000  6 F 2.20
5 Co 0.3333 0.6667 0.1667  6 F 2.20
6 Co 0.6667 0.3333 0.8333  6 F 2.20
7 F 0.0000 0.0000 0.0956  1 Ti 2.01, 3 Co 2.20
8 F 0.0000 0.0000 0.9044  1 Ti 2.01, 3 Co 2.20
9 F 0.3333 0.6667 0.5711  1 Ti 2.01, 3 Co 2.20
10 F 0.3333 0.6667 0.7623  1 Ti 2.01, 3 Co 2.20
11 F 0.6667 0.3333 0.2377  1 Ti 2.01, 3 Co 2.20
12 F 0.6667 0.3333 0.4289  1 Ti 2.01, 3 Co 2.20

## Properties
Crystal system = trigonal
Energy relative to the elements, uncorrected = -1.4276 eV per atom



7.
## CoWF3 (meta-GGA SCAN)

Data for a PBEsol-optimized structure of CoWF3.

a b c (Å): 4.1597 4.1597 4.1597
angles (deg): 90.00 90.00 90.00
With the nearest neighbours (Å) after each atom.
Fractional positions:
1 Co 0.0000 0.0000 0.0000  12 F 2.94
2 W 0.5000 0.5000 0.5000  6 F 2.08
3 F 0.0000 0.5000 0.5000  2 W 2.08
4 F 0.5000 0.0000 0.5000  2 W 2.08
5 F 0.5000 0.5000 0.0000  2 W 2.08

## Properties
Crystal system = cubic
Energy relative to the elements, uncorrected = -0.6843 eV per atom



8.
## CoWF2 (meta-GGA SCAN)

Data for a PBEsol-optimized structure of CoWF2.

a b c (Å): 2.6683 2.6683 26.8337
angles (deg): 90.00 90.00 120.00
With the nearest neighbours (Å) after each atom.
Fractional positions:
1 Co 0.0000 0.0000 0.0000  6 Co 2.67, 2 F 2.92
2 Co 0.3333 0.6667 0.6667  6 Co 2.67, 2 F 2.92
3 Co 0.6667 0.3333 0.3333  6 Co 2.67, 2 F 2.92
4 W 0.0000 0.0000 0.5000  6 F 2.19
5 W 0.3333 0.6667 0.1667  6 F 2.19
6 W 0.6667 0.3333 0.8333  6 F 2.19
7 F 0.0000 0.0000 0.1088  3 W 2.19
8 F 0.0000 0.0000 0.8912  3 W 2.19
9 F 0.3333 0.6667 0.5579  3 W 2.19
10 F 0.3333 0.6667 0.7754  3 W 2.19
11 F 0.6667 0.3333 0.2246  3 W 2.19
12 F 0.6667 0.3333 0.4421  3 W 2.19

## Properties
Crystal system = trigonal
Energy relative to the elements, uncorrected = -0.4244 eV per atom



9.
## ZnCoF2 (meta-GGA SCAN)

Data for a PBEsol-optimized structure of ZnCoF2.

a b c (Å): 2.6598 2.6598 22.3595
angles (deg): 90.00 90.00 120.00
With the nearest neighbours (Å) after each atom.
Fractional positions:
1 Zn 0.0000 0.0000 0.0000  6 F 2.47, 6 Zn 2.66
2 Zn 0.3333 0.6667 0.6667  6 F 2.47, 6 Zn 2.66
3 Zn 0.6667 0.3333 0.3333  6 F 2.47, 6 Zn 2.66
4 Co 0.0000 0.0000 0.5000  2 F 1.79
5 Co 0.3333 0.6667 0.1667  2 F 1.79
6 Co 0.6667 0.3333 0.8333  2 F 1.79
7 F 0.0000 0.0000 0.4199  1 Co 1.79
8 F 0.0000 0.0000 0.5801  1 Co 1.79
9 F 0.3333 0.6667 0.0866  1 Co 1.79
10 F 0.3333 0.6667 0.2467  1 Co 1.79
11 F 0.6667 0.3333 0.7533  1 Co 1.79
12 F 0.6667 0.3333 0.9134  1 Co 1.79

## Properties
Crystal system = trigonal
Energy relative to the elements, uncorrected = -1.1123 eV per atom



10.
## Zr3CoF (meta-GGA SCAN)

Data for a PBEsol-optimized structure of Zr3CoF.

a b c (Å): 4.7748 4.7748 4.7748
angles (deg): 90.00 90.00 90.00
With the nearest neighbours (Å) after each atom.
Fractional positions:
1 Zr 0.0000 0.0000 0.5000  2 Co 2.39
2 Zr 0.0000 0.5000 0.0000  2 Co 2.39
3 Zr 0.5000 0.0000 0.0000  2 Co 2.39
4 Co 0.0000 0.0000 0.0000  6 Zr 2.39
5 F 0.5000 0.5000 0.5000  12 Zr 3.38

## Properties
Crystal system = cubic
Energy relative to the elements, uncorrected = 0.0692 eV per atom



11.
## Fe4Co3 (meta-GGA SCAN)

Data for a PBEsol-optimized structure of Fe4Co3.

a b c (Å): 13.9689 13.8973 2.4171
angles (deg): 86.72 83.34 9.95
With the nearest neighbours (Å) after each atom.
Fractional positions:
1 Fe 0.0713 0.0713 0.9287  2 Co 2.41, 6 Fe 2.42-2.43
2 Fe 0.3565 0.3565 0.6435  2 Co 2.40, 6 Fe 2.42-2.43
3 Fe 0.6435 0.6435 0.3565  2 Co 2.40, 6 Fe 2.42-2.43
4 Fe 0.9287 0.9287 0.0713  2 Co 2.41, 6 Fe 2.42-2.43
5 Co 0.2145 0.2145 0.7855  2 Fe 2.40, 6 Co 2.41-2.42
6 Co 0.5000 0.5000 0.5000  4 Fe 2.41, 4 Co 2.42
7 Co 0.7855 0.7855 0.2145  2 Fe 2.40, 6 Co 2.41-2.42

## Properties
Crystal system = orthorhombic
Polymorph energy (0 for the lowest one) = 55 meV/atom
DFT formation energy = -0.10 eV/atom



12.
## Fe5Co2 (meta-GGA SCAN)

Data for a PBEsol-optimized structure of Fe5Co2.

a b c (Å): 2.7840 2.7840 19.6428
angles (deg): 90.00 90.00 90.00
With the nearest neighbours (Å) after each atom.
Fractional positions:
1 Fe 0.0000 0.0000 0.0000  8 Fe 2.41
2 Fe 0.0000 0.0000 0.1437  4 Co 2.40, 4 Fe 2.43
3 Fe 0.0000 0.0000 0.4289  8 Fe 2.41-2.43
4 Fe 0.0000 0.0000 0.5711  8 Fe 2.41-2.43
5 Fe 0.0000 0.0000 0.8563  4 Co 2.40, 4 Fe 2.43
6 Fe 0.5000 0.5000 0.0711  8 Fe 2.41-2.43
7 Fe 0.5000 0.5000 0.3563  4 Co 2.40, 4 Fe 2.43
8 Fe 0.5000 0.5000 0.5000  8 Fe 2.41
9 Fe 0.5000 0.5000 0.6437  4 Co 2.40, 4 Fe 2.43
10 Fe 0.5000 0.5000 0.9289  8 Fe 2.41-2.43
11 Co 0.0000 0.0000 0.2866  4 Fe 2.40, 4 Co 2.44
12 Co 0.0000 0.0000 0.7134  4 Fe 2.40, 4 Co 2.44
13 Co 0.5000 0.5000 0.2134  4 Fe 2.40, 4 Co 2.44
14 Co 0.5000 0.5000 0.7866  4 Fe 2.40, 4 Co 2.44

## Properties
Crystal system = tetragonal
Polymorph energy (0 for the lowest one) = 66 meV/atom
DFT formation energy = -0.09 eV/atom



no.,total energy (eV per atom),DOS(E_F) (states/eV/atom)
1,-23.903,1.056
2,-43.763,0.747
3,-23.107,0.348
4,-24.244,0.881
5,-24.259,0.309
6,-11.531,0.995
7,-20.207,0.187
8,-23.942,0.745
9,-10.587,0.479
10,-22.519,0.849
11,-17.871,0.565
12,-17.988,0.437